# 1
DFT (GGA-PBE) results for an optimized crystal structure of Ti6PtRh12.

Output
- SG = No. 148
- ΔE_f (eV/atom) = -0.5027
- N(E_F) (states/eV/atom) = 0.95

Lattice parameters (Å, degrees): 7.112 7.112 7.112 107.67 107.67 107.67
Fractional positions:
Ti  0.066  0.291  0.404
Ti  0.291  0.404  0.066
Ti  0.404  0.066  0.291
Ti  0.596  0.934  0.709
Ti  0.709  0.596  0.934
Ti  0.934  0.709  0.596
Pt  0.500  0.500  0.500
Rh  0.009  0.110  0.691
Rh  0.110  0.691  0.009
Rh  0.215  0.677  0.397
Rh  0.309  0.991  0.890
Rh  0.323  0.603  0.785
Rh  0.397  0.215  0.677
Rh  0.603  0.785  0.323
Rh  0.677  0.397  0.215
Rh  0.691  0.009  0.110
Rh  0.785  0.323  0.603
Rh  0.890  0.309  0.991
Rh  0.991  0.890  0.309

***

# 2
DFT (GGA-PBE) results for an optimized crystal structure of ThScGaNi.

Output
- SG = No. 216
- ΔE_f (eV/atom) = -0.3502
- N(E_F) (states/eV/atom) = 1.03

Lattice parameters (Å, degrees): 4.913 4.913 4.913 60.00 60.00 60.00
Fractional positions:
Th  0.000  0.000  0.000
Sc  0.500  0.500  0.500
Ga  0.750  0.750  0.750
Ni  0.250  0.250  0.250

***

# 3
DFT (GGA-PBE) results for an optimized crystal structure of CuSiBr2.

Output
- energy above the lowest structure with this stoichiometry (kcal/mol of atoms) = 8.591
- SG = No. 12
- ΔE_f (raw) (eV/atom) = 0.27
- N(E_F) (states/eV/atom) = 0.19

Lattice parameters (Å, degrees): 5.330 5.330 3.405 90.28 90.28 90.01
Fractional positions:
Cu  0.000  0.000  0.000
Si  0.500  0.500  0.000
Br  0.000  0.500  0.000
Br  0.500  0.000  0.000

***

# 4
DFT (GGA-PBE) results for an optimized crystal structure of K2NiHgI6.

Output
- SG = No. 1
- ΔE_f (raw) (eV/atom) = -0.66

Lattice parameters (Å, degrees): 7.598 7.618 8.827 68.00 67.88 63.85
Fractional positions:
K  0.000  0.000  0.000
K  0.415  0.413  0.602
Ni  0.708  0.707  0.800
Hg  0.208  0.206  0.302
I  0.429  0.874  0.644
I  0.442  0.438  0.162
I  0.538  0.986  0.956
I  0.878  0.427  0.645
I  0.973  0.974  0.441
I  0.986  0.539  0.957

***

# 5
DFT (GGA-PBE) results for an optimized crystal structure of TbLuCuAg.

Output
- SG = No. 216
- ΔE_f (eV/atom) = -0.2748
- N(E_F) (states/eV/atom) = 0.65

Lattice parameters (Å, degrees): 4.997 4.997 4.997 60.00 60.00 60.00
Fractional positions:
Tb  0.000  0.000  0.000
Lu  0.500  0.500  0.500
Cu  0.750  0.750  0.750
Ag  0.250  0.250  0.250

***

# 6
DFT (GGA-PBE) results for an optimized crystal structure of Mg7Pt2Au2.

Output
- energy above the lowest structure with this stoichiometry (kcal/mol of atoms) = 0.000
- SG = No. 44
- ΔE_f (eV/atom) = -0.6286
- N(E_F) (states/eV/atom) = 0.28

Lattice parameters (Å, degrees): 7.680 7.680 7.680 147.38 68.27 121.86
Fractional positions:
Mg  0.000  0.000  0.000
Mg  0.088  0.418  0.670
Mg  0.196  0.838  0.357
Mg  0.481  0.838  0.643
Mg  0.502  0.644  0.858
Mg  0.747  0.418  0.330
Mg  0.786  0.644  0.142
Pt  0.326  0.118  0.208
Pt  0.909  0.118  0.792
Au  0.364  0.364  0.000
Au  0.693  0.193  0.500

***

# 7
DFT (GGA-PBE) results for an optimized crystal structure of Mg2CdAg.

Output
- energy above the lowest structure with this stoichiometry (kcal/mol of atoms) = 3.399
- SG = No. 160
- ΔE_f (eV/atom) = -0.0280
- N(E_F) (states/eV/atom) = 0.53

Lattice parameters (Å, degrees): 10.161 10.161 10.161 17.57 17.57 17.57
Fractional positions:
Mg  0.000  0.000  0.000
Mg  0.244  0.244  0.244
Cd  0.489  0.489  0.489
Ag  0.742  0.742  0.742

***

# 8
DFT (GGA-PBE) results for an optimized crystal structure of PrDyC.

Output
- energy above the lowest structure with this stoichiometry (kcal/mol of atoms) = 0.213
- SG = No. 59
- ΔE_f (eV/atom) = -0.1435
- N(E_F) (states/eV/atom) = 1.28

Lattice parameters (Å, degrees): 3.658 5.103 8.030 90.00 90.00 90.00
Fractional positions:
Pr  0.250  0.250  0.165
Pr  0.750  0.750  0.835
Dy  0.250  0.250  0.593
Dy  0.750  0.750  0.407
C  0.250  0.750  0.620
C  0.750  0.250  0.380

***

# 9
DFT (GGA-PBE) results for an optimized crystal structure of RbMg3Au.

Output
- energy above the lowest structure with this stoichiometry (kcal/mol of atoms) = 28.941
- SG = No. 221
- ΔE_f (eV/atom) = 1.1032
- N(E_F) (states/eV/atom) = 0.13

Lattice parameters (Å, degrees): 6.966 6.966 6.966 90.00 90.00 90.00
Fractional positions:
Rb  0.000  0.000  0.000
Mg  0.000  0.000  0.500
Mg  0.000  0.500  0.000
Mg  0.500  0.000  0.000
Au  0.500  0.500  0.500

***

# 10
DFT (GGA-PBE) results for an optimized crystal structure of TaTi4Ni15.

Output
- SG = No. 123
- ΔE_f (eV/atom) = -0.4103
- N(E_F) (states/eV/atom) = 0.57

Lattice parameters (Å, degrees): 3.620 3.620 18.182 90.00 90.00 90.00
Fractional positions:
Ta  0.000  0.000  0.000
Ti  0.000  0.000  0.204
Ti  0.000  0.000  0.401
Ti  0.000  0.000  0.599
Ti  0.000  0.000  0.796
Ni  0.000  0.500  0.102
Ni  0.000  0.500  0.302
Ni  0.000  0.500  0.500
Ni  0.000  0.500  0.698
Ni  0.000  0.500  0.898
Ni  0.500  0.000  0.102
Ni  0.500  0.000  0.302
Ni  0.500  0.000  0.500
Ni  0.500  0.000  0.698
Ni  0.500  0.000  0.898
Ni  0.500  0.500  0.000
Ni  0.500  0.500  0.202
Ni  0.500  0.500  0.401
Ni  0.500  0.500  0.599
Ni  0.500  0.500  0.798

***

# 11
DFT (GGA-PBE) results for an optimized crystal structure of Sc2UZn.

Output
- SG = No. 123
- ΔE_f (eV/atom) = -0.0142
- N(E_F) (states/eV/atom) = 1.30

Lattice parameters (Å, degrees): 3.052 3.052 8.832 90.00 90.00 90.00
Fractional positions:
Sc  0.000  0.000  0.224
Sc  0.000  0.000  0.776
U  0.500  0.500  0.500
Zn  0.500  0.500  0.000

***

# 12
DFT (GGA-PBE) results for an optimized crystal structure of PtWCl2.

Output
- energy above the lowest structure with this stoichiometry (kcal/mol of atoms) = 29.561
- SG = No. 65
- ΔE_f (raw) (eV/atom) = 1.12
- N(E_F) (states/eV/atom) = 1.11

Lattice parameters (Å, degrees): 4.976 4.976 2.891 90.00 90.00 110.40
Fractional positions:
Pt  0.000  0.000  0.000
W  0.500  0.500  0.000
Cl  0.000  0.500  0.500
Cl  0.500  0.000  0.500

***

# 13
DFT (GGA-PBE) results for an optimized crystal structure of BaPd2F6.

Output
- SG = No. 71
- ΔE_f (raw) (eV/atom) = -2.03
- N(E_F) (states/eV/atom) = 0.35

Lattice parameters (Å, degrees): 7.597 7.597 7.597 144.75 143.96 51.30
Fractional positions:
Ba  0.000  0.000  0.000
Pd  0.251  0.751  0.500
Pd  0.749  0.249  0.500
F  0.104  0.604  0.500
F  0.245  0.245  0.000
F  0.397  0.897  0.500
F  0.603  0.103  0.500
F  0.755  0.755  0.000
F  0.896  0.396  0.500

***

# 14
DFT (GGA-PBE) results for an optimized crystal structure of Li2Y2Au3.

Output
- SG = No. 65
- ΔE_f (eV/atom) = -0.6222
- N(E_F) (states/eV/atom) = 0.42

Lattice parameters (Å, degrees): 11.794 11.794 3.465 90.00 90.00 162.49
Fractional positions:
Li  0.211  0.789  0.000
Li  0.789  0.211  0.000
Y  0.080  0.920  0.000
Y  0.920  0.080  0.000
Au  0.343  0.657  0.500
Au  0.500  0.500  0.500
Au  0.657  0.343  0.500

***

# 15
DFT (GGA-PBE) results for an optimized crystal structure of Mn2CdAu8.

Output
- energy above the lowest structure with this stoichiometry (kcal/mol of atoms) = 4.199
- SG = No. 12
- ΔE_f (eV/atom) = 0.0998
- N(E_F) (states/eV/atom) = 0.52

Lattice parameters (Å, degrees): 9.612 9.612 7.379 112.40 112.40 17.45
Fractional positions:
Mn  0.233  0.233  0.075
Mn  0.767  0.767  0.925
Cd  0.500  0.500  0.500
Au  0.045  0.045  0.214
Au  0.152  0.152  0.646
Au  0.310  0.310  0.654
Au  0.400  0.400  0.071
Au  0.600  0.600  0.929
Au  0.690  0.690  0.346
Au  0.848  0.848  0.354
Au  0.955  0.955  0.786

***

# 16
DFT (GGA-PBE) results for an optimized crystal structure of Ho2TmS4.

Output
- energy above the lowest structure with this stoichiometry (kcal/mol of atoms) = 1.208
- SG = No. 12
- ΔE_f (raw) (eV/atom) = -2.01
- N(E_F) (states/eV/atom) = 0.35

Lattice parameters (Å, degrees): 7.339 7.339 6.847 115.55 115.55 30.92
Fractional positions:
Ho  0.227  0.227  0.219
Ho  0.773  0.773  0.781
Tm  0.500  0.500  0.500
S  0.137  0.137  0.501
S  0.377  0.377  0.064
S  0.623  0.623  0.936
S  0.863  0.863  0.499

***

# 17
DFT (GGA-PBE) results for an optimized crystal structure of Ac5Pm2PrEr.

Output
- SG = No. 36
- ΔE_f (eV/atom) = 0.1386
- N(E_F) (states/eV/atom) = 1.52

Lattice parameters (Å, degrees): 11.821 11.821 11.074 90.00 90.00 151.49
Fractional positions:
Ac  0.000  0.000  0.000
Ac  0.000  0.000  0.500
Ac  0.128  0.872  0.750
Ac  0.218  0.782  0.437
Ac  0.219  0.781  0.065
Ac  0.498  0.502  0.250
Ac  0.502  0.498  0.750
Ac  0.781  0.219  0.565
Ac  0.782  0.218  0.937
Ac  0.872  0.128  0.250
Pm  0.386  0.614  0.503
Pm  0.386  0.614  0.998
Pm  0.614  0.386  0.003
Pm  0.614  0.386  0.498
Pr  0.098  0.902  0.250
Pr  0.902  0.098  0.750
Er  0.294  0.706  0.751
Er  0.706  0.294  0.251

***

# 18
DFT (GGA-PBE) results for an optimized crystal structure of Cs2ZrBI6.

Output
- SG = No. 139
- ΔE_f (raw) (eV/atom) = -0.60
- N(E_F) (states/eV/atom) = 0.65

Lattice parameters (Å, degrees): 8.315 8.315 8.315 119.87 119.87 90.22
Fractional positions:
Cs  0.250  0.750  0.500
Cs  0.750  0.250  0.500
Zr  0.000  0.000  0.000
B  0.500  0.500  0.000
I  0.250  0.250  0.500
I  0.250  0.750  0.000
I  0.251  0.251  0.000
I  0.749  0.749  0.000
I  0.750  0.250  0.000
I  0.750  0.750  0.500

***

# 19
DFT (GGA-PBE) results for an optimized crystal structure of Dy6HfS8.

Output
- SG = No. 225
- ΔE_f (raw) (eV/atom) = -1.95
- N(E_F) (states/eV/atom) = 0.54

Lattice parameters (Å, degrees): 7.745 7.745 7.745 60.00 60.00 60.00
Fractional positions:
Dy  0.000  0.000  0.500
Dy  0.000  0.500  0.000
Dy  0.000  0.500  0.500
Dy  0.500  0.000  0.000
Dy  0.500  0.000  0.500
Dy  0.500  0.500  0.000
Hf  0.000  0.000  0.000
S  0.242  0.242  0.758
S  0.242  0.758  0.242
S  0.242  0.758  0.758
S  0.250  0.250  0.250
S  0.750  0.750  0.750
S  0.758  0.242  0.242
S  0.758  0.242  0.758
S  0.758  0.758  0.242

***

# 20
DFT (GGA-PBE) results for an optimized crystal structure of ScIrPb2.

Output
- energy above the lowest structure with this stoichiometry (kcal/mol of atoms) = 4.767
- SG = No. 160
- ΔE_f (eV/atom) = -0.0727
- N(E_F) (states/eV/atom) = 0.66

Lattice parameters (Å, degrees): 9.185 9.185 9.185 22.83 22.83 22.83
Fractional positions:
Sc  0.000  0.000  0.000
Ir  0.723  0.723  0.723
Pb  0.235  0.235  0.235
Pb  0.462  0.462  0.462

***

# 21
DFT (GGA-PBE) results for an optimized crystal structure of Ta7Mo2W2.

Output
- SG = No. 12
- ΔE_f (eV/atom) = 0.3240
- N(E_F) (states/eV/atom) = 1.05

Lattice parameters (Å, degrees): 6.359 6.359 5.288 103.71 103.71 94.64
Fractional positions:
Ta  0.000  0.000  0.000
Ta  0.084  0.576  0.825
Ta  0.213  0.213  0.534
Ta  0.424  0.916  0.175
Ta  0.576  0.084  0.825
Ta  0.787  0.787  0.466
Ta  0.916  0.424  0.175
Mo  0.412  0.412  0.165
Mo  0.588  0.588  0.835
W  0.267  0.733  0.500
W  0.733  0.267  0.500

***

# 22
DFT (GGA-PBE) results for an optimized crystal structure of AlB2Ir2.

Output
- energy above the lowest structure with this stoichiometry (kcal/mol of atoms) = 5.872
- SG = No. 127
- ΔE_f (eV/atom) = -0.1735
- N(E_F) (states/eV/atom) = 0.40

Lattice parameters (Å, degrees): 6.320 6.320 2.832 90.00 90.00 90.00
Fractional positions:
Al  0.000  0.000  0.000
Al  0.500  0.500  0.000
B  0.092  0.408  0.000
B  0.408  0.908  0.000
B  0.592  0.092  0.000
B  0.908  0.592  0.000
Ir  0.225  0.725  0.500
Ir  0.275  0.225  0.500
Ir  0.725  0.775  0.500
Ir  0.775  0.275  0.500

***

# 23
DFT (GGA-PBE) results for an optimized crystal structure of LaTlSi2.

Output
- energy above the lowest structure with this stoichiometry (kcal/mol of atoms) = 9.394
- SG = No. 216
- ΔE_f (raw) (eV/atom) = 0.18
- N(E_F) (states/eV/atom) = 0.87

Lattice parameters (Å, degrees): 5.161 5.161 5.161 60.00 60.00 60.00
Fractional positions:
La  0.000  0.000  0.000
Tl  0.750  0.750  0.750
Si  0.250  0.250  0.250
Si  0.500  0.500  0.500

***

# 24
DFT (GGA-PBE) results for an optimized crystal structure of SiTe2Cl.

Output
- energy above the lowest structure with this stoichiometry (kcal/mol of atoms) = 5.545
- SG = No. 123
- ΔE_f (raw) (eV/atom) = 0.15
- N(E_F) (states/eV/atom) = 0.65

Lattice parameters (Å, degrees): 3.718 3.718 7.300 90.00 90.00 90.00
Fractional positions:
Si  0.000  0.000  0.000
Te  0.500  0.500  0.195
Te  0.500  0.500  0.805
Cl  0.000  0.000  0.500

***

no.,volume (Å³ per atom),density (g cm⁻³)
1,15.47,9.7
2,20.97,8.0
3,24.19,4.3
4,41.13,4.4
5,22.06,9.5
6,18.60,7.7
7,20.87,5.3
8,24.98,7.0
9,67.60,1.7
10,11.91,8.7
11,20.57,7.9
12,16.77,11.1
13,16.45,5.2
14,20.71,9.0
15,17.15,15.8
16,24.21,6.1
17,41.04,7.8
18,40.73,4.6
19,21.90,7.1
20,25.60,10.6
21,18.15,15.2
22,11.31,12.7
23,24.30,6.8
24,25.23,5.2